Entry 1:
Entry from the Alexandria database: a relaxed structure of YHoMnAg (PBE).

## Properties
**Density**: 7.42 g cm⁻³
**DFT formation energy**: -0.01 eV per atom

Cell lengths 5.0901, 5.0901, 5.0901 Å; angles 60.00, 60.00, 60.00 degrees
Last column: nearest neighbours and their distance in Å.
Positions (direct):
Y 0.2500 0.2500 0.2500  4 Mn 3.12, 4 Ag 3.12
Mn 0.0000 0.0000 0.0000  4 Ho 3.12, 4 Y 3.12
Ho 0.7500 0.7500 0.7500  4 Mn 3.12, 4 Ag 3.12
Ag 0.5000 0.5000 0.5000  4 Y 3.12, 4 Ho 3.12

Entry 2:
Entry from the Alexandria database: a relaxed structure of Ho2AgMo (PBE).

## Properties
**Density**: 9.82 g cm⁻³
**DFT formation energy**: 0.04 eV per atom

Cell lengths 3.4981, 3.4981, 7.3718 Å; angles 90.00, 90.00, 90.00 degrees
Last column: nearest neighbours and their distance in Å.
Positions (direct):
Mo 0.5000 0.5000 0.0000  8 Ho 3.01
Ho 0.0000 0.0000 0.7681  4 Mo 3.01, 4 Ag 3.17
Ho 0.0000 0.0000 0.2319  4 Mo 3.01, 4 Ag 3.17
Ag 0.5000 0.5000 0.5000  8 Ho 3.17, 4 Ag 3.50